w) DFT (PBE) results for an optimized crystal structure of CsMnCr3.

It has space group Pm-3m (No. 221), with a = 4.856 Å, b = 4.856 Å, c = 4.856 Å, α = 90.00°, β = 90.00° and γ = 90.00°. The inequivalent atoms are Cs at (0.000, 0.000, 0.000), Mn at (0.500, 0.500, 0.500) and Cr at (0.000, 0.500, 0.500).



x) DFT (PBE) results for an optimized crystal structure of CsMnCr3.

It has space group Pm-3m (No. 221), with a = 4.914 Å, b = 4.914 Å, c = 4.914 Å, α = 90.00°, β = 90.00° and γ = 90.00°. The inequivalent atoms are Cs at (0.000, 0.000, 0.000), Mn at (0.500, 0.500, 0.500) and Cr at (0.000, 0.000, 0.500).



Computed stability ranking, most favorable first: w), x)